Below is Pr6Co2SeCl3 after structural relaxation, with properties calculated at the PBE level.

Output
energy relative to the elements, uncorrected: -1.0823 eV per atom

Geometry as extended XYZ:
```
12
Lattice="4.023 0.000 0.000 0.000 8.906 0.199 -2.012 -2.684 8.941" Properties=species:S:1:pos:R:3 pbc="T T T"
Cl 2.012 -0.336 6.155
Pr 0.000 2.256 5.847
Cl 2.012 4.453 0.099
Cl 0.000 6.558 2.985
Pr 2.012 4.076 8.765
Pr 0.000 2.146 0.375
Pr 2.012 3.966 3.292
Co 2.012 4.188 6.080
Se 2.012 0.000 0.000
Pr 2.012 0.172 3.059
Pr 0.000 6.049 6.080
Co 0.000 2.034 3.060
```

Below is Dy10HoEr4 after structural relaxation, with properties calculated at the PBE level.

Output
E_form: 0.722 eV/atom

Geometry as extended XYZ:
```
15
Lattice="-1.891 5.815 4.545 -8.110 -1.143 4.474 3.151 -0.821 8.746" Properties=species:S:1:pos:R:3 pbc="T T T"
Er -5.989 1.080 8.897
Dy -6.021 1.151 5.602
Er -3.855 3.307 13.322
Dy -3.898 3.379 10.019
Ho 0.000 0.000 0.000
Dy -6.884 3.923 14.465
Er -0.861 2.771 8.868
Dy -5.939 1.017 12.193
Dy 0.116 -0.206 9.891
Dy -6.966 4.057 7.874
Dy 0.034 -0.072 3.300
Dy -0.911 2.834 5.572
Dy -2.952 0.472 7.746
Dy -0.829 2.700 12.163
Er -2.996 0.544 4.443
```

Below is YAgP2 after structural relaxation, with properties calculated at the PBE level.

Output
E_form: -0.301 eV/atom

Geometry as extended XYZ:
```
4
Lattice="-0.016 0.254 -3.593 -2.744 -2.143 0.921 -3.880 5.131 0.380" Properties=species:S:1:pos:R:3 pbc="T T T"
P -3.819 5.050 0.374
Ag -4.290 2.904 -1.051
P -2.001 2.646 0.196
Y -2.350 0.338 -1.241
```

Below is SrLiTl2Ag after structural relaxation, with properties calculated at the PBE level.

Output
E_form: -0.132 eV/atom

Geometry as extended XYZ:
```
5
Lattice="5.146 0.000 0.000 0.000 5.146 0.000 0.000 0.000 5.032" Properties=species:S:1:pos:R:3 pbc="T T T"
Sr 2.573 2.573 2.516
Ag 0.000 0.000 2.516
Tl 0.000 2.573 0.000
Tl 2.573 0.000 0.000
Li 0.000 0.000 0.000
```

Below is KZrW after structural relaxation, with properties calculated at the PBE level.

Output
E_form: 1.270 eV/atom

Geometry as extended XYZ:
```
3
Lattice="5.400 0.000 0.000 -2.700 4.676 0.000 0.000 0.000 2.656" Properties=species:S:1:pos:R:3 pbc="T T T"
Zr 2.700 1.559 2.213
W 0.000 3.118 0.887
K 0.000 0.000 2.211
```

Below is RbSmGaTe3 after structural relaxation, with properties calculated at the PBE level.

Output
energy relative to the elements, uncorrected: -0.9664 eV per atom

Geometry as extended XYZ:
```
12
Lattice="-2.896 3.764 0.180 -3.109 -2.819 8.900 8.449 6.428 1.505" Properties=species:S:1:pos:R:3 pbc="T T T"
Ga 4.072 4.549 1.763
Sm -1.635 -0.052 6.130
Te 0.662 1.637 7.775
Sm 4.079 7.425 4.455
Te 4.641 4.777 6.123
Rb 1.784 5.469 8.405
Ga -1.628 2.824 8.822
Te -2.197 2.595 4.461
Te -3.743 1.227 8.192
Rb 0.660 1.904 2.179
Te 6.187 6.146 2.393
Te 1.782 5.736 2.810
```

Below is BaPu2MgO8 after structural relaxation, with properties calculated at the PBE level.

Output
energy relative to the elements, uncorrected: -2.3658 eV per atom

Geometry as extended XYZ:
```
12
Lattice="5.565 0.000 0.000 0.000 5.565 0.000 -2.783 -2.783 5.226" Properties=species:S:1:pos:R:3 pbc="T T T"
Ba 0.000 0.000 0.000
Pu 0.000 2.783 2.613
O 1.362 1.105 3.688
O 3.888 1.421 1.538
O 1.279 1.810 1.184
Pu 2.783 2.783 0.000
Mg 2.783 0.000 2.613
O 4.286 3.755 1.184
O 0.973 -1.504 4.042
O -1.362 -1.105 3.688
O 1.677 4.144 1.538
O -0.973 1.504 4.042
```

Below is ScAlTc2 after structural relaxation, with properties calculated at the PBE level.

Output
E_form: -0.307 eV/atom

Geometry as extended XYZ:
```
4
Lattice="5.326 0.005 0.015 4.389 3.017 0.015 1.817 0.565 3.979" Properties=species:S:1:pos:R:3 pbc="T T T"
Tc 8.562 2.664 3.052
Sc 2.972 0.925 0.958
Al 5.634 1.753 2.070
Tc 1.948 0.606 3.913
```

Number 1: DOS at the Fermi energy 0.80 states/eV/atom, magnetization 0.0 μB/cell. Number 2: DOS at the Fermi energy 1.04 states/eV/atom, magnetization 0.0 μB/cell. Number 3: DOS at the Fermi energy 0.33 states/eV/atom, magnetization 0.0 μB/cell. Number 4: DOS at the Fermi energy 0.32 states/eV/atom, magnetization 0.0 μB/cell. Number 5: DOS at the Fermi energy 0.65 states/eV/atom, magnetization 0.0 μB/cell. Number 6: DOS at the Fermi energy 0.29 states/eV/atom, magnetization 0.0 μB/cell. Number 7: DOS at the Fermi energy 0.68 states/eV/atom, magnetization 4.0 μB/cell. Number 8: DOS at the Fermi energy 0.82 states/eV/atom, magnetization 0.0 μB/cell.